Here is a geometry-optimized SrTe2Pb structure from Alexandria. Energies are from PBE-GGA.

Geometry as extended XYZ:
```
4
Lattice="-3.752 -1.662 -5.434 -0.227 -4.408 -5.185 -2.616 -3.108 2.756" Properties=species:S:1:pos:R:3 pbc="T T T"
Sr -1.372 -1.983 -2.446
Pb -3.649 -5.015 -3.659
Te -4.278 -6.415 -10.194
Te -4.572 -6.423 -6.116
```

Output
- Uncorrected formation energy: -1.0090 eV/atom
- Volume: 35.3 Å³/atom
- Electronic total energy: -0.28866 Ry per atom
- Space-group type: No. 8